VASP calculation (PBE-GGA) on a relaxed Tm2RuS crystal.

a = 3.352 Å, b = 3.352 Å, c = 6.962 Å
α = 90.00°, β = 90.00°, γ = 90.00°
Space group P4/mmm (No. 123)
Unique sites:
Tm  0.000  0.000  0.240 (multiplicity 2)
Ru  0.500  0.500  0.000 (multiplicity 1)
S  0.500  0.500  0.500 (multiplicity 1)

Values from the calculation:
Volume = 19.55 Å³ per atom
E above lowest polymorph = 0 meV/atom
Crystal system = tetragonal
ΔE_f (raw) = -102 kJ/mol of atoms